(1)
Density functional theory data (GGA-PBE) for a relaxed K2VW crystal.

abc: 12.705 12.705 9.257
angles: 46.66 46.66 90.00
Site moments in Bohr magnetons follow the coordinates.
Fractional positions:
K1 0.459 0.125 0.250  -0.01
K2 0.291 0.625 0.250  -0.01
K3 0.375 0.541 0.750  -0.01
K4 0.875 0.709 0.750  -0.01
W1 0.000 0.000 0.000  1.25
W2 0.750 0.250 0.500  1.25
V1 0.500 0.500 0.000  -1.67
V2 0.250 0.750 0.500  -1.67

Summary:
DFT total energy   -4.318 eV per atom
Polymorph energy (0 for the lowest one)   0 meV per atom
Calculated volume   180 Å³/f.u.
Calculated formation energy   1.75 eV/atom
Calculated density   2.89 g cm⁻³
SG   I-42d (122)



(2)
Density functional theory data (GGA-PBE) for a relaxed Hg2CO crystal.

abc: 4.375 4.375 4.375
angles: 60.00 60.00 60.00
Site moments in Bohr magnetons follow the coordinates.
Fractional positions:
C1 0.000 0.000 0.000  0.62
Hg1 0.250 0.250 0.250  0.07
Hg2 0.750 0.750 0.750  0.07
O1 0.500 0.500 0.500  0.62

Summary:
DFT total energy   -2.195 eV per atom
Polymorph energy (0 for the lowest one)   488 meV per atom
Calculated volume   59 Å³/f.u.
Calculated density   12.03 g cm⁻³
SG   Fm-3m (225)



(3)
Density functional theory data (GGA-PBE) for a relaxed Tb2PmY4Mg crystal.

abc: 4.982 4.989 11.276
angles: 63.74 90.00 90.00
Fractional positions:
Tb1 0.000 0.000 0.000
Tb2 0.500 0.000 0.500
Pm1 0.500 0.500 0.000
Y1 0.000 0.755 0.745
Y2 0.000 0.245 0.255
Y3 0.500 0.746 0.254
Y4 0.500 0.254 0.746
Mg1 0.000 0.500 0.500

Summary:
DFT total energy   -5.162 eV per atom
Calculated volume   251 Å³/f.u.
Calculated formation energy   0.02 eV/atom
Calculated density   5.57 g cm⁻³
SG   P4/mmm (123)



(4)
Density functional theory data (GGA-PBE) for a relaxed Sr4MgS4O16 crystal.

abc: 5.216 4.723 17.165
angles: 83.85 90.00 90.00
Fractional positions:
Sr1 0.500 0.233 0.381
Sr2 0.500 0.359 0.967
Sr3 0.000 0.601 0.541
Sr4 0.000 0.863 0.127
Mg1 0.000 0.815 0.734
S1 0.500 0.411 0.152
S2 0.500 0.040 0.567
S3 0.000 0.815 0.931
S4 0.000 0.811 0.346
O1 0.000 0.499 0.931
O2 0.000 0.126 0.345
O3 0.500 0.726 0.151
O4 0.500 0.724 0.566
O5 0.000 0.725 0.266
O6 0.000 0.966 0.852
O7 0.500 0.130 0.645
O8 0.500 0.260 0.230
O9 0.268 0.334 0.105
O10 0.733 0.151 0.519
O11 0.766 0.890 0.977
O12 0.233 0.697 0.390
O13 0.234 0.890 0.977
O14 0.767 0.697 0.390
O15 0.732 0.334 0.105
O16 0.267 0.151 0.519

Summary:
DFT total energy   -6.181 eV per atom
Polymorph energy (0 for the lowest one)   9 meV per atom
Calculated volume   420 Å³/f.u.
Calculated density   3.00 g cm⁻³
SG   Pm (6)



(5)
Density functional theory data (GGA-PBE) for a relaxed K6AgPb crystal.

abc: 4.938 9.605 9.605
angles: 94.53 90.00 90.00
Fractional positions:
K1 0.000 0.531 0.790
K2 0.000 0.210 0.469
K3 0.000 0.670 0.330
K4 0.500 0.902 0.647
K5 0.500 0.353 0.098
K6 0.500 0.938 0.062
Ag1 0.500 0.248 0.752
Pb1 0.000 0.148 0.852

Summary:
DFT total energy   -1.660 eV per atom
Calculated volume   454 Å³/f.u.
Calculated formation energy   -0.02 eV/atom
Calculated density   2.01 g cm⁻³
SG   Amm2 (38)



(6)
Density functional theory data (GGA-PBE) for a relaxed NaSr2CoC crystal.

abc: 5.375 4.817 5.375
angles: 90.00 90.00 90.00
Site moments in Bohr magnetons follow the coordinates.
Fractional positions:
Sr1 0.000 0.000 0.500  -0.02
Sr2 0.500 0.000 0.000  -0.03
C1 0.000 0.000 0.000  0.35
Co1 0.500 0.500 0.500  1.79
Na1 0.000 0.500 0.000  0.00

Summary:
DFT total energy   -3.346 eV per atom
Calculated volume   139 Å³/f.u.
Calculated formation energy   0.86 eV/atom
Calculated density   3.21 g cm⁻³
SG   P4/mmm (123)



(7)
Density functional theory data (GGA-PBE) for a relaxed ScGeSe2Br crystal.

abc: 5.236 5.236 5.064
angles: 90.00 90.00 90.00
Fractional positions:
Sc1 0.000 0.000 0.000
Ge1 0.500 0.500 0.500
Se1 0.000 0.500 0.000
Se2 0.500 0.000 0.000
Br1 0.000 0.000 0.500

Summary:
DFT total energy   -4.416 eV per atom
Polymorph energy (0 for the lowest one)   0 meV per atom
Calculated volume   139 Å³/f.u.
Calculated density   4.25 g cm⁻³
SG   P4/mmm (123)



(8)
Density functional theory data (GGA-PBE) for a relaxed TaReSb2 crystal.

abc: 9.117 9.117 9.117
angles: 19.94 19.94 19.94
Fractional positions:
Re1 0.750 0.750 0.750
Sb1 0.005 0.005 0.005
Sb2 0.495 0.495 0.495
Ta1 0.250 0.250 0.250

Summary:
DFT total energy   -7.629 eV per atom
Polymorph energy (0 for the lowest one)   468 meV per atom
Calculated volume   77 Å³/f.u.
Calculated density   13.15 g cm⁻³
SG   R-3m (166)



(9)
Density functional theory data (GGA-PBE) for a relaxed TaNb6Re crystal.

abc: 4.621 5.699 5.699
angles: 109.32 90.00 90.00
Fractional positions:
Ta1 0.500 0.376 0.624
Nb1 0.000 0.123 0.373
Nb2 0.000 0.627 0.877
Nb3 0.000 0.623 0.377
Nb4 0.500 0.368 0.119
Nb5 0.500 0.881 0.632
Nb6 0.500 0.874 0.126
Re1 0.000 0.127 0.873

Summary:
DFT total energy   -10.683 eV per atom
Polymorph energy (0 for the lowest one)   0 meV per atom
Calculated volume   142 Å³/f.u.
Calculated formation energy   -0.09 eV/atom
Calculated density   10.84 g cm⁻³
SG   Amm2 (38)



(10)
Density functional theory data (GGA-PBE) for a relaxed ThNpAsP crystal.

abc: 4.008 4.008 7.630
angles: 90.00 105.22 120.00
Site moments in Bohr magnetons follow the coordinates.
Fractional positions:
Th1 0.302 0.549 0.866  0.08
Np1 0.970 0.383 0.368  3.87
As1 0.139 0.968 0.122  -0.06
P1 0.467 0.131 0.614  -0.07

Summary:
DFT total energy   -8.531 eV per atom
Calculated volume   101 Å³/f.u.
Calculated formation energy   -0.93 eV/atom
Calculated density   9.44 g cm⁻³
SG   R3m (160)



(11)
Density functional theory data (GGA-PBE) for a relaxed Hf2SnS crystal.

abc: 3.673 3.673 7.254
angles: 75.34 75.34 60.00
Fractional positions:
Hf1 0.066 0.066 0.803
Hf2 0.268 0.268 0.197
Sn1 0.499 0.499 0.503
S1 0.668 0.668 0.997

Summary:
DFT total energy   -7.773 eV per atom
Polymorph energy (0 for the lowest one)   0 meV per atom
Calculated volume   81 Å³/f.u.
Calculated density   10.40 g cm⁻³
SG   R3m (160)



(12)
Density functional theory data (GGA-PBE) for a relaxed Zn2Au crystal.

abc: 4.323 4.323 4.323
angles: 60.00 60.00 60.00
Fractional positions:
Zn1 0.750 0.750 0.750
Zn2 0.250 0.250 0.250
Au1 0.000 0.000 0.000

Summary:
DFT total energy   -2.080 eV per atom
Calculated volume   57 Å³/f.u.
Calculated formation energy   -0.14 eV/atom
Calculated density   9.53 g cm⁻³
SG   Fm-3m (225)



(13)
Density functional theory data (GGA-PBE) for a relaxed Nd2TmBi3 crystal.

abc: 4.554 6.446 7.881
angles: 114.14 106.79 90.00
Fractional positions:
Nd1 0.669 0.169 0.337
Nd2 0.331 0.831 0.663
Tm1 0.000 0.500 0.000
Bi1 0.340 0.340 0.680
Bi2 0.000 0.000 0.000
Bi3 0.660 0.660 0.320

Summary:
DFT total energy   -5.159 eV per atom
Polymorph energy (0 for the lowest one)   3 meV per atom
Calculated volume   200 Å³/f.u.
Calculated formation energy   -0.88 eV/atom
Calculated density   8.99 g cm⁻³
SG   Immm (71)



(14)
Density functional theory data (GGA-PBE) for a relaxed Cs2Tl2Sn crystal.

abc: 8.482 7.816 8.658
angles: 105.57 90.00 122.86
Fractional positions:
Cs1 0.617 0.350 0.149
Cs2 0.267 0.650 0.351
Cs3 0.383 0.650 0.851
Cs4 0.733 0.350 0.649
Tl1 0.797 0.860 0.560
Tl2 0.937 0.140 0.940
Tl3 0.203 0.140 0.440
Tl4 0.063 0.860 0.060
Sn1 0.809 0.000 0.250
Sn2 0.191 0.000 0.750

Summary:
DFT total energy   -2.254 eV per atom
Polymorph energy (0 for the lowest one)   0 meV per atom
Calculated volume   228 Å³/f.u.
Calculated formation energy   -0.17 eV/atom
Calculated density   5.77 g cm⁻³
SG   C2/c (15)



(15)
Density functional theory data (GGA-PBE) for a relaxed Ho2Mg3Pd2 crystal.

abc: 3.958 5.540 7.663
angles: 95.51 90.00 110.93
Fractional positions:
Ho1 0.624 0.248 0.360
Ho2 0.376 0.752 0.640
Mg1 0.311 0.623 0.136
Mg2 0.000 0.000 0.000
Mg3 0.689 0.377 0.864
Pd1 0.092 0.185 0.648
Pd2 0.908 0.815 0.352

Summary:
DFT total energy   -4.027 eV per atom
Polymorph energy (0 for the lowest one)   37 meV per atom
Calculated volume   156 Å³/f.u.
Calculated formation energy   -0.55 eV/atom
Calculated density   6.55 g cm⁻³
SG   C2/m (12)



(16)
Density functional theory data (GGA-PBE) for a relaxed Ca3Er4S8 crystal.

abc: 7.824 7.848 7.848
angles: 90.19 119.69 119.69
Fractional positions:
Ca1 0.500 0.500 0.000
Ca2 0.500 0.000 0.500
Ca3 0.500 0.500 0.500
Er1 0.500 0.000 0.000
Er2 0.000 0.500 0.000
Er3 0.000 0.000 0.000
Er4 0.000 0.000 0.500
S1 0.485 0.238 0.238
S2 0.000 0.754 0.246
S3 0.993 0.244 0.244
S4 0.500 0.753 0.247
S5 0.500 0.247 0.753
S6 0.007 0.756 0.756
S7 0.000 0.246 0.754
S8 0.515 0.762 0.762

Summary:
DFT total energy   -5.894 eV per atom
Calculated volume   343 Å³/f.u.
Calculated density   5.06 g cm⁻³
SG   C2/m (12)



(17)
Density functional theory data (GGA-PBE) for a relaxed RbPbI2Cl crystal.

abc: 6.408 6.408 5.655
angles: 90.00 90.00 90.00
Fractional positions:
Pb1 0.000 0.000 0.000
I1 0.000 0.500 0.000
I2 0.500 0.000 0.000
Rb1 0.500 0.500 0.500
Cl1 0.000 0.000 0.500

Summary:
DFT total energy   -3.033 eV per atom
Polymorph energy (0 for the lowest one)   52 meV per atom
Calculated volume   232 Å³/f.u.
Calculated density   4.16 g cm⁻³
SG   P4/mmm (123)



(18)
Density functional theory data (GGA-PBE) for a relaxed KReRh3 crystal.

abc: 4.799 4.799 4.799
angles: 90.00 90.00 90.00
Fractional positions:
Re1 0.000 0.000 0.000
K1 0.500 0.500 0.500
Rh1 0.000 0.500 0.000
Rh2 0.000 0.000 0.500
Rh3 0.500 0.000 0.000

Summary:
DFT total energy   -6.260 eV per atom
Polymorph energy (0 for the lowest one)   0 meV per atom
Calculated volume   110 Å³/f.u.
Calculated formation energy   0.86 eV/atom
Calculated density   8.03 g cm⁻³
SG   Pm-3m (221)



(19)
Density functional theory data (GGA-PBE) for a relaxed LaZnBr3 crystal.

abc: 5.237 5.237 5.237
angles: 90.00 90.00 90.00
Site moments in Bohr magnetons follow the coordinates.
Fractional positions:
Zn1 0.000 0.000 0.000  0.01
Br1 0.000 0.500 0.000  0.00
Br2 0.000 0.000 0.500  0.00
Br3 0.500 0.000 0.000  0.00
La1 0.500 0.500 0.500  0.57

Summary:
DFT total energy   -2.941 eV per atom
Polymorph energy (0 for the lowest one)   620 meV per atom
Calculated volume   144 Å³/f.u.
Calculated density   5.13 g cm⁻³
SG   Pm-3m (221)



(20)
Density functional theory data (GGA-PBE) for a relaxed Tb5Er6Th crystal.

abc: 10.006 10.006 5.769
angles: 106.74 106.74 123.93
Fractional positions:
Tb1 0.845 0.155 0.500
Tb2 0.655 0.345 0.000
Tb3 0.500 0.500 0.500
Tb4 0.345 0.655 0.000
Tb5 0.155 0.845 0.500
Th1 0.000 0.000 0.000
Er1 0.426 0.070 0.248
Er2 0.930 0.574 0.752
Er3 0.248 0.248 0.748
Er4 0.752 0.752 0.252
Er5 0.070 0.426 0.248
Er6 0.574 0.930 0.752

Summary:
DFT total energy   -4.714 eV per atom
Calculated volume   379 Å³/f.u.
Calculated formation energy   0.12 eV/atom
Calculated density   8.90 g cm⁻³
SG   Immm (71)